# 1
Entry from Alexandria via LeMat-Bulk: crystalline PmMgAl2Pd4 at its relaxed geometry (PBE-GGA).

* total magnetization: 0.00 μB/f.u.
* DFT total energy: -5.1417 eV/atom
* E_form: -816.5 meV per atom

a b c (Å): 4.341 4.341 9.046
angles (deg): 76.12 76.12 60.00
Sites, in units of the cell vectors:
Pm (0.000, 0.000, 0.000)
Mg (0.500, 0.500, 0.500)
Al (0.762, 0.762, 0.713)
Al (0.238, 0.238, 0.287)
Pd (0.401, 0.401, 0.797)
Pd (0.870, 0.870, 0.390)
Pd (0.130, 0.130, 0.610)
Pd (0.599, 0.599, 0.203)

***

# 2
Entry from Alexandria via LeMat-Bulk: crystalline PrSm2Ho at its relaxed geometry (PBE-GGA).

* total magnetization: 0.00 μB/f.u.
* DFT total energy: -4.6807 eV/atom
* E_form: 18.2 meV per atom

a b c (Å): 5.136 5.116 5.116
angles (deg): 90.00 90.00 90.00
Sites, in units of the cell vectors:
Pr (0.500, 0.000, 0.000)
Ho (0.500, 0.500, 0.500)
Sm (0.000, 0.000, 0.500)
Sm (0.000, 0.500, 0.000)

***

# 3
Entry from Alexandria via LeMat-Bulk: crystalline K2ZrReAg at its relaxed geometry (PBE-GGA).

* total magnetization: 0.26 μB/f.u.
* DFT total energy: -3.7188 eV/atom
* E_form: 1489.7 meV per atom

a b c (Å): 6.700 4.744 6.700
angles (deg): 90.00 90.00 90.00
Each line ends with the local moment (μB).
Sites, in units of the cell vectors:
Re (0.000, 0.500, 0.000)  0.96
K (0.000, 0.000, 0.500)  -0.02
K (0.500, 0.000, 0.000)  -0.01
Zr (0.000, 0.000, 0.000)  -0.42
Ag (0.500, 0.500, 0.500)  0.00

***

# 4
Entry from Alexandria via LeMat-Bulk: crystalline CoTcPt2 at its relaxed geometry (PBE-GGA).

* total magnetization: 3.25 μB/f.u.
* DFT total energy: -7.2633 eV/atom
* E_form: 125.1 meV per atom

a b c (Å): 4.697 4.697 2.688
angles (deg): 90.00 90.00 90.00
Each line ends with the local moment (μB).
Sites, in units of the cell vectors:
Co (0.000, 0.500, 0.500)  2.06
Pt (0.000, 0.000, 0.000)  0.23
Pt (0.500, 0.500, 0.000)  0.23
Tc (0.500, 0.000, 0.500)  0.71

***

# 5
Entry from Alexandria via LeMat-Bulk: crystalline TaPdSe2 at its relaxed geometry (PBE-GGA).

* total magnetization: 0.00 μB/f.u.
* DFT total energy: -6.4419 eV/atom
* formation energy (no corrections): -0.44 eV/atom

a b c (Å): 8.563 8.563 8.563
angles (deg): 22.64 22.64 22.64
Sites, in units of the cell vectors:
Se (0.902, 0.902, 0.902)
Se (0.098, 0.098, 0.098)
Pd (0.000, 0.000, 0.000)
Ta (0.500, 0.500, 0.500)

***

# 6
Entry from Alexandria via LeMat-Bulk: crystalline Zr3Be at its relaxed geometry (PBE-GGA).

* total magnetization: 0.00 μB/f.u.
* DFT total energy: -7.2880 eV/atom
* E_form: 54.6 meV per atom

a b c (Å): 4.282 4.282 4.279
angles (deg): 90.00 90.00 89.99
Sites, in units of the cell vectors:
Be (0.000, 0.000, 0.000)
Zr (0.000, 0.500, 0.500)
Zr (0.500, 0.000, 0.500)
Zr (0.500, 0.500, 0.000)

***

# 7
Entry from Alexandria via LeMat-Bulk: crystalline BaCuOs2 at its relaxed geometry (PBE-GGA).

* total magnetization: 0.01 μB/f.u.
* DFT total energy: -5.7051 eV/atom
* E_form: 1414.5 meV per atom

a b c (Å): 5.779 5.779 2.885
angles (deg): 90.00 90.00 125.83
Sites, in units of the cell vectors:
Ba (0.500, 0.000, 0.500)
Cu (0.000, 0.500, 0.500)
Os (0.000, 0.000, 0.000)
Os (0.500, 0.500, 0.000)

***

# 8
Entry from Alexandria via LeMat-Bulk: crystalline Co2HIrRh at its relaxed geometry (PBE-GGA).

* total magnetization: 3.73 μB/f.u.
* DFT total energy: -6.6664 eV/atom

a b c (Å): 3.782 3.782 3.715
angles (deg): 90.00 90.00 90.00
Each line ends with the local moment (μB).
Sites, in units of the cell vectors:
Co (0.000, 0.500, 0.000)  1.43
Co (0.500, 0.000, 0.000)  1.43
Ir (0.500, 0.500, 0.500)  0.53
Rh (0.000, 0.000, 0.500)  0.42
H (0.000, 0.000, 0.000)  -0.01

***

# 9
Entry from Alexandria via LeMat-Bulk: crystalline BeTc2 at its relaxed geometry (PBE-GGA).

* total magnetization: 0.00 μB/f.u.
* DFT total energy: -8.3368 eV/atom
* E_form: -184.1 meV per atom

a b c (Å): 2.986 2.986 4.721
angles (deg): 108.44 108.44 90.00
Sites, in units of the cell vectors:
Be (0.000, 0.000, 0.000)
Tc (0.663, 0.663, 0.325)
Tc (0.337, 0.337, 0.675)

***

# 10
Entry from Alexandria via LeMat-Bulk: crystalline LiNd2ScTe5 at its relaxed geometry (PBE-GGA).

* total magnetization: 0.00 μB/f.u.
* DFT total energy: -5.0044 eV/atom
* formation energy (no corrections): -1.28 eV/atom

a b c (Å): 4.349 9.559 13.012
angles (deg): 90.00 90.00 103.15
Sites, in units of the cell vectors:
Li (0.565, 0.131, 0.960)
Li (0.435, 0.869, 0.460)
Nd (0.872, 0.744, 0.802)
Nd (0.107, 0.214, 0.686)
Nd (0.128, 0.256, 0.302)
Nd (0.893, 0.786, 0.186)
Sc (0.805, 0.610, 0.512)
Sc (0.195, 0.390, 0.012)
Te (0.355, 0.709, 0.999)
Te (0.693, 0.386, 0.850)
Te (0.498, 0.996, 0.783)
Te (0.282, 0.564, 0.662)
Te (0.950, 0.900, 0.569)
Te (0.645, 0.291, 0.499)
Te (0.307, 0.614, 0.350)
Te (0.502, 0.004, 0.283)
Te (0.718, 0.436, 0.162)
Te (0.050, 0.100, 0.069)

***

# 11
Entry from Alexandria via LeMat-Bulk: crystalline Tb5SbSe5 at its relaxed geometry (PBE-GGA).

* total magnetization: 0.00 μB/f.u.
* DFT total energy: -5.7868 eV/atom
* formation energy (no corrections): -1.72 eV/atom

a b c (Å): 5.892 7.164 8.308
angles (deg): 106.66 90.00 114.28
Sites, in units of the cell vectors:
Tb (0.834, 0.668, 0.178)
Tb (0.832, 0.663, 0.657)
Tb (0.500, 0.000, 0.000)
Tb (0.168, 0.337, 0.343)
Tb (0.166, 0.332, 0.822)
Sb (0.000, 0.000, 0.000)
Se (0.664, 0.328, 0.334)
Se (0.671, 0.341, 0.838)
Se (0.000, 0.000, 0.500)
Se (0.329, 0.659, 0.162)
Se (0.336, 0.672, 0.666)

***

# 12
Entry from Alexandria via LeMat-Bulk: crystalline Be4AuSe2 at its relaxed geometry (PBE-GGA).

* total magnetization: 0.00 μB/f.u.
* DFT total energy: -3.2098 eV/atom
* formation energy (no corrections): 0.38 eV/atom

a b c (Å): 4.577 4.577 6.760
angles (deg): 70.21 70.21 90.00
Sites, in units of the cell vectors:
Be (0.814, 0.814, 0.373)
Be (0.186, 0.186, 0.627)
Be (0.000, 0.500, 0.000)
Be (0.500, 0.000, 0.000)
Au (0.000, 0.000, 0.000)
Se (0.636, 0.636, 0.728)
Se (0.364, 0.364, 0.272)

***

Which of these has the highest total magnetization? Co2HIrRh

***

What is the DFT total energy in the first record? -5.1417 eV/atom

***

Among the records above, which one has the highest total magnetization? Co2HIrRh

***

Which of these has the highest DFT total energy? Be4AuSe2